28
Lattice="5.907 0.020 0.006 -3.078 5.165 0.002 2.800 1.665 9.603" Properties=species:S:1:pos:R:3 comment="Li2Mn3GaO8 | Alexandria | PBE+U | relaxed" relative_energy_mev_per_atom=3.9 rho_g_cm3=4.3 volume_a3_per_atom=10.481 pbc="T T T"
O 2.897 3.261 1.107
O 2.733 3.590 8.503
O 4.108 4.410 5.909
O 2.763 5.334 3.738
O 5.824 1.532 5.909
O 2.866 1.516 5.872
O 5.869 3.304 8.538
O 1.614 0.931 1.073
O 1.448 4.391 5.876
O -0.194 5.319 3.702
O 4.260 0.974 1.107
O 4.016 5.919 8.537
O 4.181 2.460 3.735
O -0.239 3.546 1.072
O 1.522 2.440 3.702
O 1.370 5.876 8.503
Li 2.842 5.177 1.737
Li 2.788 1.673 7.873
Li -0.138 3.402 3.073
Li 5.767 3.449 6.538
Mn 2.815 3.425 4.805
Mn 1.400 0.832 4.801
Mn 1.415 2.593 0.004
Mn -0.124 5.176 0.005
Mn 1.276 6.008 4.806
Mn -1.539 2.583 0.001
Ga 2.887 1.713 2.404
Ga 2.743 5.137 7.206